## YThIrPt (PBE)

Data for a relaxed YThIrPt crystal.

Properties
For the formation energy, the calculation gives -1.1179 eV/atom. As for the density of states at the Fermi level: 6.44 states/eV per cell. As for the energy above the most stable polymorph in this dataset: 0.00 eV per formula unit.

The structure in CIF format:
```
data_YThIrPt
_chemical_formula_sum 'Y2 Th2 Ir2 Pt2'
_cell_length_a 4.335
_cell_length_b 3.857
_cell_length_c 11.026
_cell_angle_alpha 90.00
_cell_angle_beta 90.00
_cell_angle_gamma 90.00
_symmetry_space_group_name_H-M 'A m m 2'
_symmetry_Int_Tables_number 38
loop_
_symmetry_equiv_pos_as_xyz
'x,y,z'
'-x,-y,z'
'-x,y,z'
'x,-y,z'
'x,y+1/2,z+1/2'
'-x,-y+1/2,z+1/2'
'-x,y+1/2,z+1/2'
'x,-y+1/2,z+1/2'
loop_
_atom_site_label
_atom_site_type_symbol
_atom_site_fract_x
_atom_site_fract_y
_atom_site_fract_z
Y1 Y 0.000 0.000 0.000
Th1 Th 0.500 0.000 0.724
Ir1 Ir 0.000 0.000 0.265
Pt1 Pt 0.500 0.000 0.450
```